DFT (PBE with a Hubbard U) results for crystalline LuCoPO at its relaxed geometry.

Geometry as POSCAR:
```
LuCoPO
1.0
4.220 0.000 0.000
0.000 5.823 0.000
0.000 0.000 5.610
Lu Co P O
2 2 2 2
direct
0.000 0.232 0.000 Lu
0.000 0.768 0.500 Lu
0.500 0.370 0.625 Co
0.500 0.630 0.125 Co
0.000 0.239 0.496 P
0.000 0.761 0.996 P
0.500 0.317 0.983 O
0.500 0.683 0.483 O
```

## Properties
For the relative energy among the computed polymorphs, the calculation gives 376 meV per atom. The value obtained for the raw total energy is -6.425 eV/atom.